# InSn2Pt (PBE, relaxed)
data_InSn2Pt
_chemical_formula_sum 'In1 Sn2 Pt1'
_cell_length_a 3.122
_cell_length_b 3.122
_cell_length_c 11.731
_cell_angle_alpha 82.35
_cell_angle_beta 82.35
_cell_angle_gamma 60.00
_space_group_name_H-M_alt 'P 1'
_space_group_IT_number 1
_space_group_name_Hall 'P 1'
loop_
_atom_site_label
_atom_site_fract_x
_atom_site_fract_y
_atom_site_fract_z
Sn1 0.076 0.076 0.771
Sn2 0.924 0.924 0.229
Pt1 0.000 0.000 0.000
In1 0.500 0.500 0.500
# - distance to the lowest polymorph of the same formula (kJ/mol of formula units) = 124.4
# - SG = R-3m (166)
# - electronic total energy (eV per atom) = -4.08
# - energy of formation from the pure elements (meV per atom) = 121


# CaTc2Ru (PBE, relaxed)
data_CaTc2Ru
_chemical_formula_sum 'Ca1 Tc2 Ru1'
_cell_length_a 5.278
_cell_length_b 5.278
_cell_length_c 2.753
_cell_angle_alpha 90.00
_cell_angle_beta 90.00
_cell_angle_gamma 121.00
_space_group_name_H-M_alt 'P 1'
_space_group_IT_number 1
_space_group_name_Hall 'P 1'
loop_
_atom_site_label
_atom_site_fract_x
_atom_site_fract_y
_atom_site_fract_z
Ru1 0.000 0.500 0.500
Ca1 0.500 0.000 0.500
Tc1 0.000 0.000 0.000
Tc2 0.500 0.500 0.000
# - distance to the lowest polymorph of the same formula (kJ/mol of formula units) = 100.5
# - SG = Cmmm (65)
# - electronic total energy (eV per atom) = -7.38
# - energy of formation from the pure elements (meV per atom) = 622


# CaPrBi2 (PBE, relaxed)
data_CaPrBi2
_chemical_formula_sum 'Ca4 Pr4 Bi8'
_cell_length_a 6.553
_cell_length_b 6.552
_cell_length_c 13.117
_cell_angle_alpha 90.00
_cell_angle_beta 90.00
_cell_angle_gamma 93.41
_space_group_name_H-M_alt 'P 1'
_space_group_IT_number 1
_space_group_name_Hall 'P 1'
loop_
_atom_site_label
_atom_site_fract_x
_atom_site_fract_y
_atom_site_fract_z
Ca1 0.250 0.250 0.750
Ca2 0.750 0.750 0.750
Ca3 0.750 0.750 0.250
Ca4 0.250 0.250 0.250
Pr1 0.250 0.750 0.500
Pr2 0.750 0.250 0.000
Pr3 0.750 0.250 0.500
Pr4 0.250 0.750 0.000
Bi1 0.250 0.250 0.500
Bi2 0.750 0.750 0.000
Bi3 0.750 0.750 0.500
Bi4 0.250 0.250 0.000
Bi5 0.250 0.750 0.750
Bi6 0.750 0.250 0.750
Bi7 0.750 0.250 0.250
Bi8 0.250 0.750 0.250
# - distance to the lowest polymorph of the same formula (kJ/mol of formula units) = 5.2
# - SG = Pmmm (47)
# - electronic total energy (eV per atom) = -4.39
# - energy of formation from the pure elements (meV per atom) = -753


# In3Pb4 (PBE, relaxed)
data_In3Pb4
_chemical_formula_sum 'In3 Pb4'
_cell_length_a 6.172
_cell_length_b 6.172
_cell_length_c 6.438
_cell_angle_alpha 90.00
_cell_angle_beta 90.00
_cell_angle_gamma 120.00
_space_group_name_H-M_alt 'P 1'
_space_group_IT_number 1
_space_group_name_Hall 'P 1'
loop_
_atom_site_label
_atom_site_fract_x
_atom_site_fract_y
_atom_site_fract_z
In1 0.000 0.500 0.000
In2 0.500 0.500 0.000
In3 0.500 0.000 0.000
Pb1 0.000 0.000 0.253
Pb2 0.000 0.000 0.747
Pb3 0.667 0.333 0.500
Pb4 0.333 0.667 0.500
# - distance to the lowest polymorph of the same formula (kJ/mol of formula units) = 41.3
# - SG = P6/mmm (191)
# - electronic total energy (eV per atom) = -3.22
# - energy of formation from the pure elements (meV per atom) = 71


# TaGa3P (PBE, relaxed)
data_TaGa3P
_chemical_formula_sum 'Ta1 Ga3 P1'
_cell_length_a 4.627
_cell_length_b 4.627
_cell_length_c 4.627
_cell_angle_alpha 90.00
_cell_angle_beta 90.00
_cell_angle_gamma 90.00
_space_group_name_H-M_alt 'P 1'
_space_group_IT_number 1
_space_group_name_Hall 'P 1'
loop_
_atom_site_label
_atom_site_fract_x
_atom_site_fract_y
_atom_site_fract_z
P1 0.000 0.000 0.000
Ga1 0.000 0.500 0.000
Ga2 0.000 0.000 0.500
Ga3 0.500 0.000 0.000
Ta1 0.500 0.500 0.500
# - distance to the lowest polymorph of the same formula (kJ/mol of formula units) = 0.0
# - SG = Pm-3m (221)
# - electronic total energy (eV per atom) = -4.35
# - energy of formation from the pure elements (meV per atom) = 918


# TeOsSe2 (PBE, relaxed)
data_TeOsSe2
_chemical_formula_sum 'Te1 Os1 Se2'
_cell_length_a 12.748
_cell_length_b 12.748
_cell_length_c 12.748
_cell_angle_alpha 13.39
_cell_angle_beta 13.39
_cell_angle_gamma 13.39
_space_group_name_H-M_alt 'P 1'
_space_group_IT_number 1
_space_group_name_Hall 'P 1'
loop_
_atom_site_label
_atom_site_fract_x
_atom_site_fract_y
_atom_site_fract_z
Te1 0.500 0.500 0.500
Os1 0.000 0.000 0.000
Se1 0.938 0.938 0.938
Se2 0.062 0.062 0.062
# - uncorrected formation energy (meV per atom) = 524.4
# - SG = R-3m (166)
# - electronic total energy (eV per atom) = -4.81


# Nd2Y2Tm3 (PBE, relaxed)
data_Nd2Y2Tm3
_chemical_formula_sum 'Nd4 Y4 Tm6'
_cell_length_a 8.428
_cell_length_b 8.428
_cell_length_c 8.428
_cell_angle_alpha 109.47
_cell_angle_beta 109.47
_cell_angle_gamma 109.47
_space_group_name_H-M_alt 'P 1'
_space_group_IT_number 1
_space_group_name_Hall 'P 1'
loop_
_atom_site_label
_atom_site_fract_x
_atom_site_fract_y
_atom_site_fract_z
Nd1 0.000 0.000 0.814
Nd2 0.500 0.814 0.500
Nd3 0.186 0.686 0.686
Nd4 0.314 0.500 0.000
Y1 0.000 0.000 0.413
Y2 0.500 0.413 0.500
Y3 0.587 0.087 0.087
Y4 0.913 0.500 0.000
Tm1 0.694 0.750 0.944
Tm2 0.806 0.250 0.556
Tm3 0.056 0.306 0.250
Tm4 0.444 0.194 0.750
Tm5 0.250 0.944 0.194
Tm6 0.750 0.556 0.306
# - distance to the lowest polymorph of the same formula (kJ/mol of formula units) = 62.9
# - SG = I2_13 (199)
# - electronic total energy (eV per atom) = -4.90
# - energy of formation from the pure elements (meV per atom) = 224


# MgFePb3 (PBE, relaxed)
data_MgFePb3
_chemical_formula_sum 'Mg1 Fe1 Pb3'
_cell_length_a 5.204
_cell_length_b 5.204
_cell_length_c 5.204
_cell_angle_alpha 90.00
_cell_angle_beta 90.00
_cell_angle_gamma 90.00
_space_group_name_H-M_alt 'P 1'
_space_group_IT_number 1
_space_group_name_Hall 'P 1'
loop_
_atom_site_label
_atom_site_fract_x
_atom_site_fract_y
_atom_site_fract_z
Pb1 0.000 0.500 0.000
Pb2 0.000 0.000 0.500
Pb3 0.500 0.000 0.000
Mg1 0.500 0.500 0.500
Fe1 0.000 0.000 0.000
# - distance to the lowest polymorph of the same formula (kJ/mol of formula units) = 0.0
# - SG = Pm-3m (221)
# - electronic total energy (eV per atom) = -3.93
# - energy of formation from the pure elements (meV per atom) = 306


# NaUAu2 (PBE, relaxed)
data_NaUAu2
_chemical_formula_sum 'Na1 U1 Au2'
_cell_length_a 2.946
_cell_length_b 5.449
_cell_length_c 5.449
_cell_angle_alpha 90.00
_cell_angle_beta 90.00
_cell_angle_gamma 90.00
_space_group_name_H-M_alt 'P 1'
_space_group_IT_number 1
_space_group_name_Hall 'P 1'
loop_
_atom_site_label
_atom_site_fract_x
_atom_site_fract_y
_atom_site_fract_z
Au1 0.000 0.000 0.500
Au2 0.000 0.500 0.000
U1 0.500 0.500 0.500
Na1 0.500 0.000 0.000
# - SG = P4/mmm (123)
# - electronic total energy (eV per atom) = -4.95
# - energy of formation from the pure elements (meV per atom) = -164


# La3Pm3Ho (PBE, relaxed)
data_La3Pm3Ho
_chemical_formula_sum 'La6 Pm6 Ho2'
_cell_length_a 5.913
_cell_length_b 9.847
_cell_length_c 9.847
_cell_angle_alpha 120.00
_cell_angle_beta 90.00
_cell_angle_gamma 90.00
_space_group_name_H-M_alt 'P 1'
_space_group_IT_number 1
_space_group_name_Hall 'P 1'
loop_
_atom_site_label
_atom_site_fract_x
_atom_site_fract_y
_atom_site_fract_z
La1 0.750 0.196 0.952
La2 0.750 0.757 0.804
La3 0.250 0.952 0.757
La4 0.750 0.048 0.243
La5 0.250 0.243 0.196
La6 0.250 0.804 0.048
Pm1 0.750 0.481 0.385
Pm2 0.750 0.905 0.519
Pm3 0.250 0.385 0.905
Pm4 0.750 0.615 0.095
Pm5 0.250 0.095 0.481
Pm6 0.250 0.519 0.615
Ho1 0.250 0.667 0.333
Ho2 0.750 0.333 0.667
# - distance to the lowest polymorph of the same formula (kJ/mol of formula units) = 0.0
# - SG = P6_3/m (176)
# - electronic total energy (eV per atom) = -4.77
# - energy of formation from the pure elements (meV per atom) = 32


# PuBi2Rh2 (PBE, relaxed)
data_PuBi2Rh2
_chemical_formula_sum 'Pu2 Bi4 Rh4'
_cell_length_a 4.349
_cell_length_b 5.290
_cell_length_c 10.747
_cell_angle_alpha 106.08
_cell_angle_beta 90.00
_cell_angle_gamma 90.00
_space_group_name_H-M_alt 'P 1'
_space_group_IT_number 1
_space_group_name_Hall 'P 1'
loop_
_atom_site_label
_atom_site_fract_x
_atom_site_fract_y
_atom_site_fract_z
Pu1 0.750 0.242 0.632
Pu2 0.250 0.758 0.368
Bi1 0.750 0.243 0.964
Bi2 0.250 0.792 0.705
Bi3 0.250 0.757 0.036
Bi4 0.750 0.208 0.295
Rh1 0.250 0.311 0.470
Rh2 0.750 0.650 0.196
Rh3 0.250 0.350 0.804
Rh4 0.750 0.689 0.530
# - distance to the lowest polymorph of the same formula (kJ/mol of formula units) = 0.0
# - SG = P2_1/m (11)
# - electronic total energy (eV per atom) = -7.67
# - energy of formation from the pure elements (meV per atom) = -307


# Dy3Y2Tl4 (PBE, relaxed)
data_Dy3Y2Tl4
_chemical_formula_sum 'Dy3 Y2 Tl4'
_cell_length_a 5.275
_cell_length_b 5.272
_cell_length_c 10.497
_cell_angle_alpha 90.04
_cell_angle_beta 90.00
_cell_angle_gamma 59.98
_space_group_name_H-M_alt 'P 1'
_space_group_IT_number 1
_space_group_name_Hall 'P 1'
loop_
_atom_site_label
_atom_site_fract_x
_atom_site_fract_y
_atom_site_fract_z
Dy1 0.333 0.333 0.425
Dy2 0.000 0.000 0.000
Dy3 0.667 0.667 0.575
Y1 0.333 0.333 0.776
Y2 0.667 0.667 0.224
Tl1 0.667 0.667 0.897
Tl2 0.000 0.000 0.345
Tl3 0.000 0.000 0.655
Tl4 0.333 0.333 0.103
# - distance to the lowest polymorph of the same formula (kJ/mol of formula units) = 0.0
# - SG = C2/m (12)
# - electronic total energy (eV per atom) = -4.34
# - energy of formation from the pure elements (meV per atom) = -313


Number 1: spin magnetization 0.0 Bohr magnetons per cell. Number 2: spin magnetization 0.0 Bohr magnetons per cell. Number 3: spin magnetization 0.0 Bohr magnetons per cell. Number 4: spin magnetization 0.0 Bohr magnetons per cell. Number 5: spin magnetization 0.0 Bohr magnetons per cell. Number 6: spin magnetization 0.3 Bohr magnetons per cell. Number 7: spin magnetization 0.0 Bohr magnetons per cell. Number 8: spin magnetization 2.0 Bohr magnetons per cell. Number 9: spin magnetization 3.2 Bohr magnetons per cell. Number 10: spin magnetization 0.0 Bohr magnetons per cell. Number 11: spin magnetization 9.3 Bohr magnetons per cell. Number 12: spin magnetization 0.0 Bohr magnetons per cell.